#one
An optimized crystal structure of Tm2TlO. Source: the Alexandria database, functional PBE-GGA.

abc: 3.499 3.499 7.833
angles: 77.10 77.10 60.00
Element x y z (fractional)
Tl (0.500, 0.500, 0.500)
Tm (0.723, 0.723, 0.830)
O (0.000, 0.000, 0.000)
Tm (0.277, 0.277, 0.170)


#two
An optimized crystal structure of Tm2TlO. Source: the Alexandria database, functional PBE-GGA.

abc: 3.106 3.106 7.832
angles: 90.00 90.00 90.00
Element x y z (fractional)
Tm (0.000, 0.000, 0.804)
Tm (0.000, 0.000, 0.196)
O (0.500, 0.500, 0.000)
Tl (0.500, 0.500, 0.500)


Bottom line: #one, by a margin of 577 meV/atom.


#one
An optimized crystal structure of TmTlO2. Source: the Alexandria database, functional PBE-GGA.

abc: 3.448 3.448 7.003
angles: 75.75 75.75 60.00
Element x y z (fractional)
Tl (0.487, 0.487, 0.540)
O (0.286, 0.286, 0.142)
O (0.062, 0.062, 0.814)
Tm (0.665, 0.665, 0.004)


#two
An optimized crystal structure of TmTlO2. Source: the Alexandria database, functional PBE-GGA.

abc: 6.805 6.805 6.805
angles: 29.31 29.31 29.31
Element x y z (fractional)
Tm (0.500, 0.500, 0.500)
Tl (0.000, 0.000, 0.000)
O (0.777, 0.777, 0.777)
O (0.223, 0.223, 0.223)


Bottom line: #two, by a margin of 12 meV/atom.


#one
An optimized crystal structure of Tm3TlO6. Source: the Alexandria database, functional PBE-GGA.

abc: 6.654 6.654 6.654
angles: 91.61 91.61 91.61
Element x y z (fractional)
O (0.322, 0.898, 0.074)
O (0.898, 0.074, 0.322)
Tl (0.500, 0.500, 0.500)
O (0.678, 0.102, 0.926)
O (0.825, 0.475, 0.607)
O (0.074, 0.322, 0.898)
O (0.102, 0.926, 0.678)
Tm (0.748, 0.443, 0.933)
Tm (0.557, 0.067, 0.252)
O (0.926, 0.678, 0.102)
Tm (0.252, 0.557, 0.067)
O (0.607, 0.825, 0.475)
O (0.393, 0.175, 0.525)
Tm (0.443, 0.933, 0.748)
Tm (0.067, 0.252, 0.557)
O (0.525, 0.393, 0.175)
O (0.175, 0.525, 0.393)
Tm (0.933, 0.748, 0.443)
Tl (0.000, 0.000, 0.000)
O (0.475, 0.607, 0.825)


#two
An optimized crystal structure of Tm3TlO6. Source: the Alexandria database, functional PBE-GGA.

abc: 5.591 7.082 7.082
angles: 103.08 90.00 90.00
Element x y z (fractional)
O (0.210, 0.441, 0.901)
O (0.710, 0.559, 0.099)
O (0.724, 0.979, 0.021)
Tm (0.473, 0.303, 0.091)
Tm (0.917, 0.599, 0.401)
Tm (0.417, 0.401, 0.599)
O (0.612, 0.220, 0.780)
O (0.693, 0.318, 0.360)
Tl (0.981, 0.181, 0.819)
O (0.210, 0.099, 0.559)
Tl (0.481, 0.819, 0.181)
Tm (0.973, 0.091, 0.303)
Tm (0.473, 0.909, 0.697)
O (0.693, 0.640, 0.682)
O (0.193, 0.360, 0.318)
O (0.193, 0.682, 0.640)
O (0.112, 0.780, 0.220)
O (0.224, 0.021, 0.979)
Tm (0.973, 0.697, 0.909)
O (0.710, 0.901, 0.441)


Bottom line: #one, by a margin of 15 meV/atom.